# 1
Entry from the Alexandria database: a relaxed Er4PuSb5 crystal (PBE).

## Properties
Formation energy from raw total energies: -0.988 eV per atom
Volume: 29.475 A^3/atom
Space group: No. 71
Electronic total energy: -63.1 eV for the cell shown
Magnetic moment: 5.09 μB per formula unit

a = 4.3693 Å, b = 6.1754 Å, c = 11.5604 Å
α = 105.49°, β = 100.89°, γ = 90.00°
Fractional positions:
Er: 0.3994 0.3994 0.7987
Er: 0.7985 0.7985 0.5970
Er: 0.2015 0.2015 0.4030
Er: 0.6006 0.6006 0.2013
Pu: 0.0000 0.0000 0.0000
Sb: 0.6014 0.1014 0.2028
Sb: 0.8001 0.3001 0.6002
Sb: 0.1999 0.6999 0.3998
Sb: 0.0000 0.5000 0.0000
Sb: 0.3986 0.8986 0.7972



# 2
Entry from the Alexandria database: a relaxed Er2PuSb crystal (PBE).

## Properties
Formation energy from raw total energies: -0.401 eV per atom
Volume: 26.466 A^3/atom
Space group: No. 123
Electronic total energy: -29.2 eV for the cell shown
Magnetic moment: 6.52 μB per formula unit

a = 4.5630 Å, b = 4.8167 Å, c = 4.8167 Å
α = 90.00°, β = 90.00°, γ = 90.00°
Fractional positions:
Sb: 0.5000 0.0000 0.0000
Er: 0.0000 0.0000 0.5000
Er: 0.0000 0.5000 0.0000
Pu: 0.5000 0.5000 0.5000



# 3
Entry from the Alexandria database: a relaxed Er2PuSb3 crystal (PBE).

## Properties
Formation energy from raw total energies: -0.919 eV per atom
Volume: 29.657 A^3/atom
Space group: No. 71
Electronic total energy: -41.3 eV for the cell shown
Magnetic moment: 5.06 μB per formula unit

a = 4.3876 Å, b = 6.1891 Å, c = 7.5715 Å
α = 114.12°, β = 106.84°, γ = 90.00°
Fractional positions:
Er: 0.8339 0.8339 0.1678
Er: 0.1661 0.1661 0.8322
Pu: 0.5000 0.5000 0.5000
Sb: 0.8317 0.3317 0.1635
Sb: 0.1683 0.6683 0.8365
Sb: 0.5000 0.0000 0.5000



# 4
Entry from the Alexandria database: a relaxed ErPu3Sb4 crystal (PBE).

## Properties
Formation energy from raw total energies: -0.714 eV per atom
Volume: 30.212 A^3/atom
Space group: No. 65
Electronic total energy: -69.8 eV for the cell shown
Magnetic moment: 15.10 μB per formula unit

a = 4.4073 Å, b = 7.6269 Å, c = 7.6269 Å
α = 109.48°, β = 90.00°, γ = 90.00°
Fractional positions:
Er: 0.5000 0.0000 0.0000
Pu: 0.0000 0.0000 0.5000
Pu: 0.5000 0.5000 0.5000
Pu: 0.0000 0.5000 0.0000
Sb: 0.0000 0.2482 0.2482
Sb: 0.5000 0.7512 0.2488
Sb: 0.0000 0.7518 0.7518
Sb: 0.5000 0.2488 0.7512



# 5
Entry from the Alexandria database: a relaxed Er4PuSb5 crystal (PBE).

## Properties
Formation energy from raw total energies: -0.987 eV per atom
Volume: 29.469 A^3/atom
Space group: No. 139
Electronic total energy: -63.1 eV for the cell shown
Magnetic moment: 5.08 μB per formula unit

a = 4.3715 Å, b = 4.3715 Å, c = 15.7275 Å
α = 97.99°, β = 97.99°, γ = 90.00°
Fractional positions:
Er: 0.3994 0.3994 0.7987
Er: 0.7994 0.7994 0.5989
Er: 0.2006 0.2006 0.4011
Er: 0.6006 0.6006 0.2013
Pu: 0.0000 0.0000 0.0000
Sb: 0.1009 0.1009 0.2019
Sb: 0.5000 0.5000 0.0000
Sb: 0.8991 0.8991 0.7981
Sb: 0.3000 0.3000 0.6000
Sb: 0.7000 0.7000 0.4000



# 6
Entry from the Alexandria database: a relaxed Er3PuSb4 crystal (PBE).

## Properties
Formation energy from raw total energies: -0.961 eV per atom
Volume: 29.553 A^3/atom
Space group: No. 65
Electronic total energy: -52.2 eV for the cell shown
Magnetic moment: 5.04 μB per formula unit

a = 4.3787 Å, b = 7.5672 Å, c = 7.5672 Å
α = 109.45°, β = 90.00°, γ = 90.00°
Fractional positions:
Er: 0.0000 0.0000 0.5000
Er: 0.5000 0.5000 0.5000
Er: 0.0000 0.5000 0.0000
Pu: 0.5000 0.0000 0.0000
Sb: 0.0000 0.2525 0.2525
Sb: 0.5000 0.7487 0.2513
Sb: 0.0000 0.7475 0.7475
Sb: 0.5000 0.2513 0.7487



# 7
Entry from the Alexandria database: a relaxed Er2PuSb crystal (PBE).

## Properties
Formation energy from raw total energies: -0.187 eV per atom
Volume: 28.306 A^3/atom
Space group: No. 166
Electronic total energy: -28.3 eV for the cell shown
Magnetic moment: 6.08 μB per formula unit

a = 3.5188 Å, b = 3.5188 Å, c = 10.7529 Å
α = 80.58°, β = 80.58°, γ = 60.00°
Fractional positions:
Sb: 0.0000 0.0000 0.0000
Er: 0.2547 0.2547 0.2359
Er: 0.7453 0.7453 0.7641
Pu: 0.5000 0.5000 0.5000



# 8
Entry from the Alexandria database: a relaxed ErPu2ScSb4 crystal (PBE).

## Properties
Formation energy from raw total energies: -0.781 eV per atom
Volume: 28.994 A^3/atom
Space group: No. 10
Electronic total energy: -62.3 eV for the cell shown
Magnetic moment: 0.07 μB per formula unit

a = 4.3571 Å, b = 7.5548 Å, c = 7.4771 Å
α = 109.54°, β = 90.00°, γ = 90.00°
Fractional positions:
Er: 0.5000 0.5000 0.0000
Pu: 0.5000 0.0000 0.5000
Pu: 0.0000 0.5000 0.5000
Sc: 0.0000 0.0000 0.0000
Sb: 0.5000 0.2400 0.2371
Sb: 0.5000 0.7600 0.7629
Sb: 0.0000 0.2465 0.7587
Sb: 0.0000 0.7535 0.2413



# 9
Entry from the Alexandria database: a relaxed ErPuSc2Sb4 crystal (PBE).

## Properties
Formation energy from raw total energies: -0.880 eV per atom
Volume: 27.650 A^3/atom
Space group: No. 10
Electronic total energy: -55.1 eV for the cell shown
Magnetic moment: 5.10 μB per formula unit

a = 4.2839 Å, b = 7.4118 Å, c = 7.3896 Å
α = 109.48°, β = 90.00°, γ = 90.00°
Fractional positions:
Er: 0.5000 0.5000 0.0000
Pu: 0.0000 0.0000 0.0000
Sc: 0.5000 0.0000 0.5000
Sc: 0.0000 0.5000 0.5000
Sb: 0.5000 0.2570 0.2657
Sb: 0.5000 0.7430 0.7343
Sb: 0.0000 0.2471 0.7360
Sb: 0.0000 0.7529 0.2640



# 10
Entry from the Alexandria database: a relaxed Er2PuScSb4 crystal (PBE).

## Properties
Formation energy from raw total energies: -0.910 eV per atom
Volume: 28.640 A^3/atom
Space group: No. 10
Electronic total energy: -53.6 eV for the cell shown
Magnetic moment: 5.05 μB per formula unit

a = 4.3363 Å, b = 7.4785 Å, c = 7.4923 Å
α = 109.44°, β = 90.00°, γ = 90.00°
Fractional positions:
Er: 0.5000 0.0000 0.5000
Er: 0.0000 0.5000 0.5000
Pu: 0.5000 0.5000 0.0000
Sc: 0.0000 0.0000 0.0000
Sb: 0.5000 0.2407 0.2429
Sb: 0.5000 0.7593 0.7571
Sb: 0.0000 0.2434 0.7518
Sb: 0.0000 0.7566 0.2482



# 11
Entry from the Alexandria database: a relaxed SmEr2PuSb4 crystal (PBE).

## Properties
Formation energy from raw total energies: -0.982 eV per atom
Volume: 30.160 A^3/atom
Space group: No. 10
Electronic total energy: -52.5 eV for the cell shown
Magnetic moment: 5.04 μB per formula unit

a = 4.4102 Å, b = 7.6120 Å, c = 7.6247 Å
α = 70.50°, β = 90.00°, γ = 90.00°
Fractional positions:
Sm: 0.5000 0.5000 0.0000
Er: 0.0000 0.0000 0.0000
Er: 0.5000 0.0000 0.5000
Pu: 0.0000 0.5000 0.5000
Sb: 0.0000 0.7566 0.7459
Sb: 0.0000 0.2434 0.2541
Sb: 0.5000 0.7552 0.2501
Sb: 0.5000 0.2448 0.7499



# 12
Entry from the Alexandria database: a relaxed SmErPu2Sb4 crystal (PBE).

## Properties
Formation energy from raw total energies: -0.861 eV per atom
Volume: 30.502 A^3/atom
Space group: No. 10
Electronic total energy: -61.3 eV for the cell shown
Magnetic moment: 10.07 μB per formula unit

a = 4.4237 Å, b = 7.6622 Å, c = 7.6394 Å
α = 109.55°, β = 90.00°, γ = 90.00°
Fractional positions:
Sm: 0.5000 0.5000 0.0000
Er: 0.0000 0.0000 0.0000
Pu: 0.5000 0.0000 0.5000
Pu: 0.0000 0.5000 0.5000
Sb: 0.5000 0.2462 0.2498
Sb: 0.5000 0.7538 0.7502
Sb: 0.0000 0.2453 0.7474
Sb: 0.0000 0.7547 0.2526



# 13
Entry from the Alexandria database: a relaxed TbErPu2Sb4 crystal (PBE).

## Properties
Formation energy from raw total energies: -0.857 eV per atom
Volume: 30.132 A^3/atom
Space group: No. 10
Electronic total energy: -61.2 eV for the cell shown
Magnetic moment: 10.08 μB per formula unit

a = 4.4078 Å, b = 7.6340 Å, c = 7.6022 Å
α = 109.55°, β = 90.00°, γ = 90.00°
Fractional positions:
Tb: 0.5000 0.5000 0.0000
Er: 0.0000 0.0000 0.0000
Pu: 0.5000 0.0000 0.5000
Pu: 0.0000 0.5000 0.5000
Sb: 0.5000 0.2478 0.2482
Sb: 0.5000 0.7522 0.7518
Sb: 0.0000 0.2485 0.7506
Sb: 0.0000 0.7515 0.2494



# 14
Entry from the Alexandria database: a relaxed ErPuSbTe crystal (PBE).

## Properties
Formation energy from raw total energies: -1.059 eV per atom
Volume: 30.035 A^3/atom
Space group: No. 160
Electronic total energy: -30.4 eV for the cell shown
Magnetic moment: 5.71 μB per formula unit

a = 4.3985 Å, b = 4.3985 Å, c = 7.6067 Å
α = 73.19°, β = 73.19°, γ = 60.00°
Fractional positions:
Er: 0.1966 0.1966 0.4103
Pu: 0.6922 0.6922 0.9235
Sb: 0.9416 0.9416 0.1752
Te: 0.4461 0.4461 0.6617



# 15
Entry from the Alexandria database: a relaxed ErPuTh2Sb4 crystal (PBE).

## Properties
Formation energy from raw total energies: -0.906 eV per atom
Volume: 31.241 A^3/atom
Space group: No. 10
Electronic total energy: -57.5 eV for the cell shown
Magnetic moment: 5.77 μB per formula unit

a = 4.4713 Å, b = 7.7282 Å, c = 7.6806 Å
α = 109.66°, β = 90.00°, γ = 90.00°
Fractional positions:
Er: 0.5000 0.5000 0.0000
Pu: 0.0000 0.0000 0.0000
Th: 0.5000 0.0000 0.5000
Th: 0.0000 0.5000 0.5000
Sb: 0.5000 0.2498 0.2425
Sb: 0.5000 0.7502 0.7575
Sb: 0.0000 0.2555 0.7589
Sb: 0.0000 0.7445 0.2411



# 16
Entry from the Alexandria database: a relaxed ErPu2ThSb4 crystal (PBE).

## Properties
Formation energy from raw total energies: -0.812 eV per atom
Volume: 30.919 A^3/atom
Space group: No. 10
Electronic total energy: -63.6 eV for the cell shown
Magnetic moment: 0.03 μB per formula unit

a = 4.4490 Å, b = 7.6763 Å, c = 7.6870 Å
α = 70.42°, β = 90.00°, γ = 90.00°
Fractional positions:
Er: 0.0000 0.5000 0.5000
Pu: 0.0000 0.0000 0.0000
Pu: 0.5000 0.0000 0.5000
Th: 0.5000 0.5000 0.0000
Sb: 0.0000 0.7520 0.7433
Sb: 0.0000 0.2480 0.2567
Sb: 0.5000 0.7484 0.2550
Sb: 0.5000 0.2516 0.7450



# 17
Entry from the Alexandria database: a relaxed ErPuTh2Sb5 crystal (PBE).

## Properties
Formation energy from raw total energies: -0.110 eV per atom
Volume: 35.275 A^3/atom
Space group: No. 123
Electronic total energy: -55.3 eV for the cell shown
Magnetic moment: 4.94 μB per formula unit

a = 5.2565 Å, b = 5.2565 Å, c = 11.4897 Å
α = 90.00°, β = 90.00°, γ = 90.00°
Fractional positions:
Er: 0.0000 0.0000 0.5000
Pu: 0.0000 0.0000 0.0000
Th: 0.5000 0.5000 0.3047
Th: 0.5000 0.5000 0.6953
Sb: 0.0000 0.5000 0.5000
Sb: 0.5000 0.0000 0.5000
Sb: 0.0000 0.0000 0.7498
Sb: 0.0000 0.0000 0.2502
Sb: 0.5000 0.5000 0.0000



# 18
Entry from the Alexandria database: a relaxed ErPu2USb4 crystal (PBE).

## Properties
Formation energy from raw total energies: -0.608 eV per atom
Volume: 30.036 A^3/atom
Space group: No. 10
Electronic total energy: -65.9 eV for the cell shown
Magnetic moment: 2.24 μB per formula unit

a = 4.3724 Å, b = 7.6931 Å, c = 7.5598 Å
α = 109.10°, β = 90.00°, γ = 90.00°
Fractional positions:
Er: 0.5000 0.5000 0.0000
Pu: 0.5000 0.0000 0.5000
Pu: 0.0000 0.5000 0.5000
U: 0.0000 0.0000 0.0000
Sb: 0.5000 0.2495 0.2453
Sb: 0.5000 0.7505 0.7547
Sb: 0.0000 0.2511 0.7551
Sb: 0.0000 0.7489 0.2449



# 19
Entry from the Alexandria database: a relaxed Er14PuSc crystal (PBE).

## Properties
Volume: 30.196 A^3/atom
Space group: No. 38
E_form: 0.022 eV per atom
Electronic total energy: -84.2 eV for the cell shown
Magnetic moment: 5.73 μB per formula unit

a = 7.0992 Å, b = 7.0992 Å, c = 11.0629 Å
α = 90.00°, β = 90.00°, γ = 119.94°
Fractional positions:
Er: 0.3334 0.6666 0.5000
Er: 0.8337 0.1663 0.5000
Er: 0.8319 0.6641 0.0000
Er: 0.8341 0.6673 0.5000
Er: 0.3359 0.1681 0.0000
Er: 0.3327 0.1659 0.5000
Er: 0.6663 0.8357 0.7546
Er: 0.6663 0.8357 0.2454
Er: 0.1643 0.3337 0.7546
Er: 0.1643 0.3337 0.2454
Er: 0.1675 0.8325 0.7515
Er: 0.1675 0.8325 0.2485
Er: 0.6681 0.3319 0.7509
Er: 0.6681 0.3319 0.2491
Pu: 0.8321 0.1679 0.0000
Sc: 0.3338 0.6662 0.0000



# 20
Entry from the Alexandria database: a relaxed ErPuSc crystal (PBE).

## Properties
Volume: 31.962 A^3/atom
Space group: No. 67
E_form: 0.630 eV per atom
Electronic total energy: -46.7 eV for the cell shown
Magnetic moment: 6.85 μB per formula unit

a = 5.8727 Å, b = 5.8727 Å, c = 6.2406 Å
α = 90.03°, β = 90.03°, γ = 117.00°
Fractional positions:
Er: 0.7501 0.7501 0.3654
Er: 0.2499 0.2499 0.6346
Pu: 0.7498 0.7498 0.8772
Pu: 0.2502 0.2502 0.1228
Sc: 0.2499 0.7501 0.0000
Sc: 0.7501 0.2499 0.0000